No. 1
A plane-wave DFT calculation with GGA-PBE was carried out for an optimized crystal structure of TaTl2Zn.

* space group: C2/m (12)
* ρ: 12.7 Mg/m³
* E above lowest polymorph: 159 meV/atom
* D(E_F): 0.3507 states/eV/atom
* energy of formation from the pure elements: 11.8 kcal/mol of atoms

abc: 5.5318 5.9175 3.0968
angles: 75.04 89.56 117.74
Positions (direct):
Tl1 0.0000 0.0000 0.0000
Ta1 0.5000 0.5000 0.0000
Tl2 0.5000 0.0000 0.5000
Zn1 0.0000 0.5000 0.5000

---

No. 2
A plane-wave DFT calculation with GGA-PBE was carried out for an optimized crystal structure of Er4Sb3Te.

* space group: Pm-3m (221)
* formation energy (no corrections): -1.1553 eV/atom
* ρ: 8.3 Mg/m³
* E above lowest polymorph: 10 meV/atom
* D(E_F): 0.4958 states/eV/atom

abc: 6.1414 6.1414 6.1414
angles: 90.00 90.00 90.00
Positions (direct):
Er1 0.0000 0.0000 0.5000
Er2 0.0000 0.5000 0.0000
Er3 0.5000 0.5000 0.5000
Te1 0.0000 0.0000 0.0000
Sb1 0.0000 0.5000 0.5000
Sb2 0.5000 0.5000 0.0000
Sb3 0.5000 0.0000 0.5000
Er4 0.5000 0.0000 0.0000

---

No. 3
A plane-wave DFT calculation with GGA-PBE was carried out for an optimized crystal structure of SrErTlCu.

* space group: F-43m (216)
* ρ: 8.1 Mg/m³
* D(E_F): 1.2440 states/eV/atom
* energy of formation from the pure elements: -2.9 kcal/mol of atoms

abc: 5.3409 5.3409 5.3409
angles: 60.00 60.00 60.00
Positions (direct):
Tl1 0.7500 0.7500 0.7500
Sr1 0.5000 0.5000 0.5000
Cu1 0.2500 0.2500 0.2500
Er1 0.0000 0.0000 0.0000

---

No. 4
A plane-wave DFT calculation with GGA-PBE was carried out for an optimized crystal structure of Ba2Tl13.

* space group: R-3m (166)
* ρ: 8.1 Mg/m³
* E above lowest polymorph: 16 meV/atom
* D(E_F): 0.6706 states/eV/atom
* energy of formation from the pure elements: -0.2 kcal/mol of atoms

abc: 9.2437 9.2437 9.7254
angles: 61.63 61.63 60.00
Positions (direct):
Tl1 0.2620 0.2620 0.6023
Tl2 0.7380 0.1263 0.3977
Tl3 0.5084 0.5084 0.8280
Tl4 0.4916 0.4916 0.1720
Tl5 0.1263 0.7380 0.3977
Tl6 0.4916 0.8449 0.1720
Tl7 0.8737 0.2620 0.6023
Tl8 0.8449 0.4916 0.1720
Tl9 0.5000 0.5000 0.5000
Tl10 0.5084 0.1551 0.8280
Tl11 0.7380 0.7380 0.3977
Ba1 0.7444 0.7444 0.7668
Ba2 0.2556 0.2556 0.2332
Tl12 0.1551 0.5084 0.8280
Tl13 0.2620 0.8737 0.6023